Entry from Alexandria: crystalline La3NdSm at its relaxed geometry (PBE). Values from VASP.

Cell and atoms, written as Quantum ESPRESSO input:
```
&SYSTEM
  ibrav = 0, nat = 10, ntyp = 3
/
ATOMIC_SPECIES
La 138.91 La.upf
Nd 144.24 Nd.upf
Sm 150.36 Sm.upf
CELL_PARAMETERS angstrom
3.9689 -6.8835 0.0000
3.9689 6.8835 0.0000
0.0000 0.0000 6.8018
ATOMIC_POSITIONS crystal
La 0.1985 0.3980 0.7500
La 0.1989 0.8011 0.7500
La 0.3980 0.1985 0.2500
La 0.6020 0.8015 0.7500
La 0.8011 0.1989 0.2500
La 0.8015 0.6020 0.2500
Nd 0.0000 0.0000 0.0000
Nd 0.0000 0.0000 0.5000
Sm 0.3339 0.6661 0.2500
Sm 0.6661 0.3339 0.7500
```

Computed properties:
The value obtained for the density of states at the Fermi level is 0.94 states/eV/atom. As for the total DFT energy (no corrections): -4.59 eV/atom. The crystal system is orthorhombic.